Mn2ZnO4 after structural relaxation. Source: Alexandria, functional PBEsol.

Values from the calculation:
ΔE_f (raw): -1.54 eV per atom

abc: 5.6938 5.6938 9.2805
angles: 90.00 90.00 90.00
With the nearest neighbours (Å) after each atom.
Space group I4_1/amd (No. 141, origin choice 2)
Inequivalent atoms, fractional coordinates:
Mn (0.0000, 0.0000, 0.0000) x8  4 O 1.92
Zn (0.0000, 0.2500, 0.3750) x4  4 O 1.97
O (0.0000, 0.0238, 0.7549) x16  2 Mn 1.92, 1 Zn 1.97

---

ZrIn after structural relaxation. Source: Alexandria, functional PBEsol.

Values from the calculation:
ΔE_f: -0.39 eV per atom

abc: 3.1144 3.1144 4.3606
angles: 90.00 90.00 90.00
With the nearest neighbours (Å) after each atom.
Space group P4/mmm (No. 123)
Inequivalent atoms, fractional coordinates:
Zr (0.0000, 0.0000, 0.0000) x1  8 In 3.10, 4 Zr 3.11
In (0.5000, 0.5000, 0.5000) x1  8 Zr 3.10, 4 In 3.11

---

YNbSe2 after structural relaxation. Source: Alexandria, functional PBEsol.

Values from the calculation:
ΔE_f (raw): -0.70 eV per atom

abc: 3.4559 3.4559 26.9805
angles: 90.00 90.00 120.00
With the nearest neighbours (Å) after each atom.
Space group R-3m (No. 166, hexagonal axes)
Inequivalent atoms, fractional coordinates:
Y (0.0000, 0.0000, 0.0000) x3  2 Se 2.80
Nb (0.0000, 0.0000, 0.5000) x3  6 Se 2.62
Se (0.0000, 0.0000, 0.1038) x6  3 Nb 2.62, 1 Y 2.80

---

Sc3Au2 after structural relaxation. Source: Alexandria, functional PBEsol.

Values from the calculation:
ΔE_f: -0.59 eV per atom

abc: 4.6413 4.6413 5.7179
angles: 90.00 90.00 120.00
With the nearest neighbours (Å) after each atom.
Space group P-3m1 (No. 164)
Inequivalent atoms, fractional coordinates:
Sc (0.0000, 0.0000, 0.0000) x1  6 Au 2.85
Sc (0.3333, 0.6667, 0.3434) x2  5 Au 2.78-2.93
Au (0.3333, 0.6667, 0.8305) x2  8 Sc 2.78-2.93

---

TbInPt4 after structural relaxation. Source: Alexandria, functional PBEsol.

Values from the calculation:
ΔE_f: -0.81 eV per atom

abc: 7.5327 7.5327 7.5327
angles: 90.00 90.00 90.00
With the nearest neighbours (Å) after each atom.
Space group F-43m (No. 216)
Inequivalent atoms, fractional coordinates:
Tb (0.0000, 0.0000, 0.0000) x4  12 Pt 3.12, 4 In 3.26
In (0.2500, 0.2500, 0.7500) x4  12 Pt 3.12, 4 Tb 3.26
Pt (0.1246, 0.1246, 0.3754) x16  6 Pt 2.66-2.67

---

ZrIrBr2 after structural relaxation. Source: Alexandria, functional PBEsol.

Values from the calculation:
Excess energy over the best structure of this formula in the dataset: 420.6 meV per atom
ΔE_f (raw): -0.01 eV per atom

abc: 5.9434 8.9069 4.2146
angles: 90.00 134.09 90.00
With the nearest neighbours (Å) after each atom.
Space group C2/m (No. 12)
Inequivalent atoms, fractional coordinates:
Zr (0.0000, 0.0000, 0.0000) x2  4 Br 2.69, 2 Ir 2.97
Ir (0.0000, 0.5000, 0.0000) x2  4 Br 2.69, 2 Zr 2.97
Br (0.2500, 0.2500, 0.5000) x4  2 Zr 2.69, 2 Ir 2.69, 2 Br 2.97

---

Ba4NiPb after structural relaxation. Source: Alexandria, functional PBEsol.

Values from the calculation:
ΔE_f: 0.62 eV per atom

abc: 9.6965 9.6965 9.6965
angles: 90.00 90.00 90.00
With the nearest neighbours (Å) after each atom.
Space group F-43m (No. 216)
Inequivalent atoms, fractional coordinates:
Ba (0.1250, 0.1250, 0.1250) x16  6 Ba 3.43
Ni (0.2500, 0.2500, 0.7500) x4  12 Ba 4.02, 4 Pb 4.20
Pb (0.0000, 0.0000, 0.5000) x4  12 Ba 4.02, 4 Ni 4.20

---

CrB3Rh after structural relaxation. Source: Alexandria, functional PBEsol.

Values from the calculation:
ΔE_f: 1.20 eV per atom

abc: 3.7423 3.7423 3.7423
angles: 90.00 90.00 90.00
With the nearest neighbours (Å) after each atom.
Space group Pm-3m (No. 221)
Inequivalent atoms, fractional coordinates:
Cr (0.0000, 0.0000, 0.0000) x1  6 B 1.87
B (0.0000, 0.0000, 0.5000) x3  2 Cr 1.87
Rh (0.5000, 0.5000, 0.5000) x1  12 B 2.65

---

Ce3ZrO8 after structural relaxation. Source: Alexandria, functional PBEsol.

Values from the calculation:
Excess energy over the best structure of this formula in the dataset: 0.0 meV per atom
ΔE_f (raw): -3.45 eV per atom

abc: 10.6347 10.6827 5.3363
angles: 90.00 90.33 90.00
With the nearest neighbours (Å) after each atom.
Space group C2/c (No. 15)
Inequivalent atoms, fractional coordinates:
Ce (0.0000, 0.1265, 0.2500) x4  8 O 2.25-2.43
Ce (0.2456, 0.3763, 0.2434) x8  8 O 2.28-2.41
Zr (0.0000, 0.3721, 0.7500) x4  6 O 2.10-2.33
O (0.1184, 0.4889, 0.9622) x8  1 Zr 2.10, 2 Ce 2.30-2.35
O (0.1211, 0.2636, 0.5222) x8  1 Zr 2.12, 1 Ce 2.33
O (0.1235, 0.2458, 0.0077) x8  3 Ce 2.25-2.34, 1 Zr 2.33
O (0.1273, 0.0062, 0.4976) x8  4 Ce 2.28-2.38

---

Li2GeTeO6 after structural relaxation. Source: Alexandria, functional PBEsol.

Values from the calculation:
ΔE_f (raw): -1.65 eV per atom

abc: 5.0267 5.0267 14.2895
angles: 90.00 90.00 120.00
With the nearest neighbours (Å) after each atom.
Space group R3 (No. 146, hexagonal axes)
Inequivalent atoms, fractional coordinates:
Li (0.0000, 0.0000, 0.0000) x3  3 O 2.04
Li (0.0000, 0.0000, 0.2649) x3  3 O 2.01
Ge (0.0000, 0.0000, 0.7936) x3  6 O 1.89-1.94
Te (0.0000, 0.0000, 0.4746) x3  6 O 1.93-1.96
O (0.0066, 0.3721, 0.0595) x9  1 Ge 1.89, 1 Te 1.96, 1 Li 2.04
O (0.0421, 0.6926, 0.5438) x9  1 Te 1.93, 1 Ge 1.94, 1 Li 2.01

---

TcGePO2 after structural relaxation. Source: Alexandria, functional PBEsol.

Values from the calculation:
ΔE_f (raw): -0.01 eV per atom

abc: 3.4914 3.4914 6.0225
angles: 90.00 90.00 90.00
With the nearest neighbours (Å) after each atom.
Space group P4/mmm (No. 123)
Inequivalent atoms, fractional coordinates:
Tc (0.0000, 0.0000, 0.0000) x1  4 P 2.47
Ge (0.5000, 0.5000, 0.5000) x1  4 O 1.75
P (0.5000, 0.5000, 0.0000) x1  4 Tc 2.47
O (0.0000, 0.5000, 0.5000) x2  2 Ge 1.75

---

NbCrSCl2 after structural relaxation. Source: Alexandria, functional PBEsol.

Values from the calculation:
Excess energy over the best structure of this formula in the dataset: 0.0 meV per atom
ΔE_f (raw): -0.08 eV per atom

abc: 4.8211 4.8211 4.7746
angles: 90.00 90.00 90.00
With the nearest neighbours (Å) after each atom.
Space group P4/mmm (No. 123)
Inequivalent atoms, fractional coordinates:
Nb (0.0000, 0.0000, 0.0000) x1  2 S 2.39, 4 Cl 2.41
Cr (0.5000, 0.5000, 0.5000) x1  8 Cl 3.39, 4 S 3.41
S (0.0000, 0.0000, 0.5000) x1  2 Nb 2.39
Cl (0.0000, 0.5000, 0.0000) x2  2 Nb 2.41

---

KEr2CuSe4 after structural relaxation. Source: Alexandria, functional PBEsol.

Values from the calculation:
ΔE_f (raw): -1.50 eV per atom

abc: 4.0173 13.7389 14.0376
angles: 90.00 90.00 90.00
With the nearest neighbours (Å) after each atom.
Space group Cmcm (No. 63)
Inequivalent atoms, fractional coordinates:
K (0.0000, 0.1130, 0.2500) x4  6 Se 3.14-3.25
Er (0.0000, 0.3657, 0.0651) x8  6 Se 2.78-2.88
Cu (0.0000, 0.1602, 0.7500) x4  4 Se 2.42-2.43
Se (0.0000, 0.0000, 0.0000) x4  4 Er 2.88
Se (0.0000, 0.2661, 0.6117) x8  1 Cu 2.43
Se (0.0000, 0.4375, 0.2500) x4  2 Cu 2.42

---

BaTl3S after structural relaxation. Source: Alexandria, functional PBEsol.

Values from the calculation:
ΔE_f (raw): -0.07 eV per atom

abc: 5.5955 5.5955 5.5955
angles: 90.00 90.00 90.00
With the nearest neighbours (Å) after each atom.
Space group Pm-3m (No. 221)
Inequivalent atoms, fractional coordinates:
Ba (0.0000, 0.0000, 0.0000) x1  12 Tl 3.96
Tl (0.0000, 0.5000, 0.5000) x3  2 S 2.80
S (0.5000, 0.5000, 0.5000) x1  6 Tl 2.80

---

TaBeTe2 after structural relaxation. Source: Alexandria, functional PBEsol.

Values from the calculation:
ΔE_f (raw): 0.11 eV per atom

abc: 3.4101 3.4101 7.0765
angles: 90.00 90.00 90.00
With the nearest neighbours (Å) after each atom.
Space group P4mm (No. 99)
Inequivalent atoms, fractional coordinates:
Ta (0.0000, 0.0000, 0.0000) x1  4 Be 2.67, 5 Te 2.72-2.82
Be (0.5000, 0.5000, 0.8384) x1  5 Te 2.60-2.88, 4 Ta 2.67
Te (0.0000, 0.0000, 0.6150) x1  1 Ta 2.72, 4 Be 2.88
Te (0.5000, 0.5000, 0.2054) x1  1 Be 2.60, 4 Ta 2.82

---

AgHg2P after structural relaxation. Source: Alexandria, functional PBEsol.

Values from the calculation:
ΔE_f: 0.24 eV per atom

abc: 3.9207 3.9207 18.9414
angles: 90.00 90.00 120.00
With the nearest neighbours (Å) after each atom.
Space group R3m (No. 160, hexagonal axes)
Inequivalent atoms, fractional coordinates:
Ag (0.0000, 0.0000, 0.0000) x3  3 P 2.50
Hg (0.0000, 0.0000, 0.5290) x3  3 P 2.74, 3 Hg 2.97
Hg (0.0000, 0.0000, 0.7609) x3  3 Ag 2.88, 3 Hg 2.97
P (0.0000, 0.0000, 0.2774) x3  3 Ag 2.50, 3 Hg 2.74

---

CaRe2Br after structural relaxation. Source: Alexandria, functional PBEsol.

Values from the calculation:
Excess energy over the best structure of this formula in the dataset: 0.0 meV per atom
ΔE_f (raw): 0.26 eV per atom

abc: 3.7096 3.7096 23.2335
angles: 90.00 90.00 120.00
With the nearest neighbours (Å) after each atom.
Space group R3m (No. 160, hexagonal axes)
Inequivalent atoms, fractional coordinates:
Ca (0.0000, 0.0000, 0.0000) x3  3 Br 2.95, 3 Re 3.13
Re (0.0000, 0.0000, 0.4770) x3  3 Re 2.39
Re (0.0000, 0.0000, 0.7647) x3  3 Re 2.39
Br (0.0000, 0.0000, 0.2457) x3  3 Ca 2.95, 3 Re 3.20

---

Cr2OsI after structural relaxation. Source: Alexandria, functional PBEsol.

Values from the calculation:
ΔE_f (raw): 1.04 eV per atom

abc: 6.1165 6.1165 6.1165
angles: 90.00 90.00 90.00
With the nearest neighbours (Å) after each atom.
Space group Fm-3m (No. 225)
Inequivalent atoms, fractional coordinates:
Cr (0.2500, 0.2500, 0.2500) x8  4 Os 2.65, 4 I 2.65
Os (0.0000, 0.0000, 0.0000) x4  8 Cr 2.65
I (0.0000, 0.0000, 0.5000) x4  8 Cr 2.65

---

K2AlSe after structural relaxation. Source: Alexandria, functional PBEsol.

Values from the calculation:
ΔE_f (raw): -0.12 eV per atom

abc: 6.8235 10.0831 3.2702
angles: 90.00 90.00 90.00
With the nearest neighbours (Å) after each atom.
Space group Cmmm (No. 65)
Inequivalent atoms, fractional coordinates:
K (0.2500, 0.2500, 0.0000) x4  4 K 3.27-3.41, 4 Se 3.46, 4 Al 3.46
Al (0.0000, 0.0000, 0.5000) x2  2 Al 3.27, 2 Se 3.41, 8 K 3.46
Se (0.0000, 0.5000, 0.5000) x2  2 Se 3.27, 2 Al 3.41, 8 K 3.46

---

K2NaTmCl6 after structural relaxation. Source: Alexandria, functional PBEsol.

Values from the calculation:
ΔE_f (raw): -2.05 eV per atom

abc: 10.4441 10.4441 10.4441
angles: 90.00 90.00 90.00
With the nearest neighbours (Å) after each atom.
Space group Fm-3m (No. 225)
Inequivalent atoms, fractional coordinates:
K (0.2500, 0.2500, 0.2500) x8  12 Cl 3.69
Na (0.0000, 0.0000, 0.0000) x4  6 Cl 2.67
Tm (0.0000, 0.0000, 0.5000) x4  6 Cl 2.55
Cl (0.0000, 0.0000, 0.2554) x24  1 Tm 2.55, 1 Na 2.67

---

Sr2Os after structural relaxation. Source: Alexandria, functional PBEsol.

Values from the calculation:
ΔE_f: 0.88 eV per atom

abc: 4.9990 4.9990 3.5196
angles: 90.00 90.00 120.00
With the nearest neighbours (Å) after each atom.
Space group P-3m1 (No. 164)
Inequivalent atoms, fractional coordinates:
Sr (0.3333, 0.6667, 0.2132) x2  3 Os 3.06, 3 Sr 3.25
Os (0.0000, 0.0000, 0.5000) x1  6 Sr 3.06

---

CdCu3 after structural relaxation. Source: Alexandria, functional PBEsol.

Values from the calculation:
ΔE_f: 1.46 eV per atom

abc: 4.8294 4.8294 4.8294
angles: 90.00 90.00 90.00
With the nearest neighbours (Å) after each atom.
Space group Pm-3m (No. 221)
Inequivalent atoms, fractional coordinates:
Cd (0.0000, 0.0000, 0.0000) x1  6 Cu 2.41
Cu (0.0000, 0.0000, 0.5000) x3  2 Cd 2.41

---

Hf5FeTe3 after structural relaxation. Source: Alexandria, functional PBEsol.

Values from the calculation:
ΔE_f (raw): -0.59 eV per atom

abc: 17.7265 3.6096 13.1994
angles: 90.00 90.00 90.00
With the nearest neighbours (Å) after each atom.
Space group Pnma (No. 62)
Inequivalent atoms, fractional coordinates:
Hf (0.0432, 0.2500, 0.0704) x4  2 Fe 2.66, 1 Te 2.96
Hf (0.0889, 0.2500, 0.8490) x4  2 Fe 2.58
Hf (0.1238, 0.7500, 0.2250) x4  4 Te 2.91-3.08, 4 Hf 3.08-3.25
Hf (0.2120, 0.2500, 0.0585) x4  2 Fe 2.55
Hf (0.2440, 0.7500, 0.8577) x4  1 Fe 2.57
Fe (0.1297, 0.7500, 0.9778) x4  7 Hf 2.55-2.66
Te (0.0006, 0.7500, 0.7129) x4  5 Hf 2.96-2.99
Te (0.1459, 0.7500, 0.4435) x4  4 Hf 2.89-2.94
Te (0.2044, 0.2500, 0.6915) x4  6 Hf 2.92-3.08

---

La3B6Ru8 after structural relaxation. Source: Alexandria, functional PBEsol.

Values from the calculation:
ΔE_f: -0.44 eV per atom

abc: 5.5121 9.7080 17.3964
angles: 90.00 90.00 90.00
With the nearest neighbours (Å) after each atom.
Space group Fmmm (No. 69)
Inequivalent atoms, fractional coordinates:
La (0.0000, 0.0000, 0.0000) x4  12 Ru 3.13-3.17, 2 La 3.15, 6 B 3.21
La (0.0000, 0.0000, 0.1810) x8  8 B 3.01-3.29, 10 Ru 3.04-3.24, 1 La 3.15
B (0.0000, 0.1613, 0.3286) x16  5 Ru 2.12-2.20
B (0.0000, 0.1698, 0.5000) x8  6 Ru 2.18-2.22
Ru (0.0000, 0.0000, 0.4146) x8  4 B 2.17-2.22
Ru (0.2500, 0.2500, 0.0863) x16  4 B 2.18-2.20
Ru (0.2500, 0.2500, 0.2500) x8  4 B 2.12

---

Sequential ρ output: 5.28; 8.09; 6.06; 8.23; 16.38; 9.19; 5.94; 5.94; 7.01; 4.94; 5.28; 3.71; 6.46; 7.42; 8.98; 10.67; 8.86; 12.22; 2.72; 2.82; 7.97; 4.47; 10.47; 9.21 g cm⁻³
Sequential energy output: -7.56; -6.42; -7.03; -6.12; -6.78; -5.68; -2.51; -6.69; -9.36; -6.04; -6.51; -5.97; -5.34; -2.95; -5.79; -2.32; -7.41; -7.58; -2.68; -4.11; -4.42; -2.09; -8.60; -8.65 eV per atom